Density functional theory data (PBE) for K5Pu2Cl12 after structural relaxation.

Cell: 9.680 9.680 10.036 Å, 109.91 109.91 50.84°
Element x y z (fractional)
K1 0.000 0.000 0.000
K2 0.277 0.277 0.089
K3 0.323 0.323 0.710
K4 0.677 0.677 0.290
K5 0.723 0.723 0.911
Pu1 0.250 0.750 0.500
Pu2 0.750 0.250 0.500
Cl1 0.020 0.020 0.683
Cl2 0.102 0.585 0.441
Cl3 0.108 0.606 0.943
Cl4 0.394 0.892 0.057
Cl5 0.415 0.898 0.559
Cl6 0.484 0.484 0.314
Cl7 0.516 0.516 0.686
Cl8 0.585 0.102 0.441
Cl9 0.606 0.108 0.943
Cl10 0.892 0.394 0.057
Cl11 0.898 0.415 0.559
Cl12 0.980 0.980 0.317

Total DFT energy (no corrections) ... -0.35271 Ry/atom
Calculated volume ... 675.4 Å³/f.u.
Fermi-level density of states ... 24.5 states/eV/f.u.